1.
## Ac2In6IrPd (PBE)

Data for an optimized crystal structure of Ac2In6IrPd.

## Properties
Raw total energy = -4.122 eV/atom
Total magnetic moment = 0.0 Bohr magnetons per cell
V = 1129.39 Å³ per cell
Formation enthalpy at 0 K = -0.252 eV per atom

Cell: 10.414 10.414 10.414 Å, 90.00 90.00 90.00°
Space group Fm-3m (No. 225)
Symmetry-distinct sites (fractional):
Ac 0.250 0.250 0.250 x8
In 0.000 0.000 0.249 x24
Ir 0.000 0.000 0.500 x4
Pd 0.000 0.000 0.000 x4

---

2.
## AcInIrPd (PBE)

Data for an optimized crystal structure of AcInIrPd.

## Properties
Raw total energy = -5.626 eV/atom
Total magnetic moment = 0.0 Bohr magnetons per cell
V = 357.25 Å³ per cell
Formation enthalpy at 0 K = -0.401 eV per atom

Cell: 7.096 7.096 7.096 Å, 90.00 90.00 90.00°
Space group F-43m (No. 216)
Symmetry-distinct sites (fractional):
Ac 0.000 0.000 0.000 x4
In 0.000 0.000 0.500 x4
Ir 0.250 0.250 0.750 x4
Pd 0.250 0.250 0.250 x4

---

3.
## AcPrInIr (PBE)

Data for an optimized crystal structure of AcPrInIr.

## Properties
Raw total energy = -5.437 eV/atom
Total magnetic moment = 0.0 Bohr magnetons per cell
V = 446.20 Å³ per cell
Formation enthalpy at 0 K = -0.315 eV per atom

Cell: 7.641 7.641 7.641 Å, 90.00 90.00 90.00°
Space group F-43m (No. 216)
Symmetry-distinct sites (fractional):
Ac 0.000 0.000 0.000 x4
Pr 0.000 0.000 0.500 x4
In 0.250 0.250 0.250 x4
Ir 0.250 0.250 0.750 x4

---

4.
## Ac2In6IrRh (PBE)

Data for an optimized crystal structure of Ac2In6IrRh.

## Properties
Raw total energy = -4.365 eV/atom
Total magnetic moment = 0.0 Bohr magnetons per cell
V = 555.64 Å³ per cell
Formation enthalpy at 0 K = -0.279 eV per atom

Cell: 10.358 10.342 7.286 Å, 90.00 134.61 90.00°
Space group C2/m (No. 12)
Symmetry-distinct sites (fractional):
Ac 0.000 0.210 0.000 x4
In 0.000 0.251 0.500 x4
In 0.220 0.500 0.441 x4
In 0.221 0.500 0.998 x4
Ir 0.000 0.000 0.500 x2
Rh 0.000 0.500 0.500 x2

---

5.
## AcIn3IrRh (PBE)

Data for an optimized crystal structure of AcIn3IrRh.

## Properties
Raw total energy = -5.041 eV/atom
Total magnetic moment = 0.0 Bohr magnetons per cell
V = 600.34 Å³ per cell
Formation enthalpy at 0 K = -0.285 eV per atom

Cell: 8.431 11.451 6.218 Å, 90.00 90.00 90.00°
Space group Cmcm (No. 63)
Symmetry-distinct sites (fractional):
Ac 0.000 0.206 0.250 x4
In 0.000 0.319 0.750 x4
In 0.243 0.000 0.000 x8
Ir 0.000 0.088 0.750 x4
Rh 0.000 0.450 0.250 x4

---

6.
## AcInIrRh (PBE)

Data for an optimized crystal structure of AcInIrRh.

## Properties
Raw total energy = -6.060 eV/atom
Total magnetic moment = 0.0 Bohr magnetons per cell
V = 343.03 Å³ per cell
Formation enthalpy at 0 K = -0.295 eV per atom

Cell: 7.000 7.000 7.000 Å, 90.00 90.00 90.00°
Space group F-43m (No. 216)
Symmetry-distinct sites (fractional):
Ac 0.000 0.000 0.000 x4
In 0.000 0.000 0.500 x4
Ir 0.250 0.250 0.750 x4
Rh 0.250 0.250 0.250 x4